#i
Computed, not measured: BeNb2Zn after structural relaxation at the GGA-PBE level of DFT.

Cell lengths 3.7929, 3.9873, 3.9873 Å; angles 90.00, 90.00, 90.00 degrees
Closest atoms and distances in Å follow each position.
Fractional coordinates of all 4 atoms:
Zn1 0.5000 0.0000 0.0000  8 Nb 2.75, 4 Be 2.82
Nb1 0.0000 0.0000 0.5000  4 Be 2.75, 4 Zn 2.75, 4 Nb 2.82
Nb2 0.0000 0.5000 0.0000  4 Be 2.75, 4 Zn 2.75, 4 Nb 2.82
Be1 0.5000 0.5000 0.5000  8 Nb 2.75, 4 Zn 2.82

DOS(E_F): 2.6 states/eV per cell

***

#ii
Computed, not measured: BeNb2Zn after structural relaxation at the GGA-PBE level of DFT.

Cell lengths 4.4000, 4.4000, 4.4000 Å; angles 60.00, 60.00, 60.00 degrees
Closest atoms and distances in Å follow each position.
Fractional coordinates of all 4 atoms:
Zn1 0.5000 0.5000 0.5000  8 Nb 2.69
Be1 0.0000 0.0000 0.0000  8 Nb 2.69
Nb1 0.7500 0.7500 0.7500  4 Be 2.69, 4 Zn 2.69
Nb2 0.2500 0.2500 0.2500  4 Be 2.69, 4 Zn 2.69

DOS(E_F): 3.4 states/eV per cell

***

#iii
Computed, not measured: BeNb2Zn after structural relaxation at the GGA-PBE level of DFT.

Cell lengths 6.9659, 6.9659, 5.5760 Å; angles 51.34, 51.34, 90.00 degrees
Closest atoms and distances in Å follow each position.
Fractional coordinates of all 8 atoms:
Nb1 0.6084 0.1250 0.2500  2 Be 2.47, 2 Nb 2.62, 2 Zn 2.63
Nb2 0.8750 0.8584 0.7500  2 Be 2.47, 2 Nb 2.62, 2 Zn 2.63
Nb3 0.1416 0.6250 0.2500  2 Be 2.47, 2 Nb 2.62, 2 Zn 2.63
Nb4 0.3750 0.3916 0.7500  2 Be 2.47, 2 Nb 2.62, 2 Zn 2.63
Be1 0.5000 0.5000 0.0000  4 Nb 2.47, 2 Zn 2.61
Be2 0.2500 0.7500 0.5000  4 Nb 2.47, 2 Zn 2.61
Zn1 0.7500 0.2500 0.5000  2 Be 2.61, 4 Nb 2.63
Zn2 0.0000 0.0000 0.0000  2 Be 2.61, 4 Nb 2.63

DOS(E_F): 3.7 states/eV per cell

***

#iv
Computed, not measured: BeNb2Zn after structural relaxation at the GGA-PBE level of DFT.

Cell lengths 2.7757, 2.7757, 7.7799 Å; angles 90.00, 90.00, 90.00 degrees
Closest atoms and distances in Å follow each position.
Fractional coordinates of all 4 atoms:
Nb1 0.0000 0.0000 0.2225  4 Be 2.62, 4 Nb 2.78, 4 Zn 2.92
Nb2 0.0000 0.0000 0.7775  4 Be 2.62, 4 Nb 2.78, 4 Zn 2.92
Zn1 0.5000 0.5000 0.5000  4 Zn 2.78, 8 Nb 2.92
Be1 0.5000 0.5000 0.0000  8 Nb 2.62, 4 Be 2.78

DOS(E_F): 1.3 states/eV per cell

***

List of relative energies, unit meV per atom: #i 63; #ii 210; #iii 447; #iv 0

***

#i
Computed, not measured: BeNb2Zn2 after structural relaxation at the GGA-PBE level of DFT.

Cell lengths 6.4386, 6.4386, 4.0218 Å; angles 90.00, 90.00, 90.00 degrees
Closest atoms and distances in Å follow each position.
Fractional coordinates of all 10 atoms:
Nb1 0.3474 0.8474 0.0000  2 Be 2.44, 2 Zn 2.68
Nb2 0.6526 0.1526 0.0000  2 Be 2.44, 2 Zn 2.68
Nb3 0.8474 0.6526 0.0000  2 Be 2.44, 2 Zn 2.68
Nb4 0.1526 0.3474 0.0000  2 Be 2.44, 2 Zn 2.68
Zn1 0.3477 0.1523 0.5000  6 Nb 2.68-2.81, 1 Zn 2.77
Zn2 0.1523 0.6523 0.5000  6 Nb 2.68-2.81, 1 Zn 2.77
Zn3 0.8477 0.3477 0.5000  6 Nb 2.68-2.81, 1 Zn 2.77
Zn4 0.6523 0.8477 0.5000  6 Nb 2.68-2.81, 1 Zn 2.77
Be1 0.0000 0.0000 0.0000  4 Nb 2.44
Be2 0.5000 0.5000 0.0000  4 Nb 2.44

DOS(E_F): 9.3 states/eV per cell

***

#ii
Computed, not measured: BeNb2Zn2 after structural relaxation at the GGA-PBE level of DFT.

Cell lengths 5.9739, 5.9739, 4.2519 Å; angles 90.00, 90.00, 90.00 degrees
Closest atoms and distances in Å follow each position.
Fractional coordinates of all 10 atoms:
Nb1 0.8320 0.3320 0.5000  6 Zn 2.66-2.83, 1 Nb 2.84
Nb2 0.1680 0.6680 0.5000  6 Zn 2.66-2.83, 1 Nb 2.84
Nb3 0.6680 0.8320 0.5000  6 Zn 2.66-2.83, 1 Nb 2.84
Nb4 0.3320 0.1680 0.5000  6 Zn 2.66-2.83, 1 Nb 2.84
Be1 0.0000 0.0000 0.0000  4 Zn 2.29
Be2 0.5000 0.5000 0.0000  4 Zn 2.29
Zn1 0.6438 0.1438 0.0000  2 Be 2.29, 1 Zn 2.43
Zn2 0.3562 0.8562 0.0000  2 Be 2.29, 1 Zn 2.43
Zn3 0.1438 0.3562 0.0000  2 Be 2.29, 1 Zn 2.43
Zn4 0.8562 0.6438 0.0000  2 Be 2.29, 1 Zn 2.43

DOS(E_F): 9.8 states/eV per cell

***

#iii
Computed, not measured: BeNb2Zn2 after structural relaxation at the GGA-PBE level of DFT.

Cell lengths 3.4599, 3.4599, 7.3361 Å; angles 76.36, 76.36, 90.00 degrees
Closest atoms and distances in Å follow each position.
Fractional coordinates of all 5 atoms:
Zn1 0.7500 0.2500 0.5000  4 Zn 2.45
Zn2 0.2500 0.7500 0.5000  4 Zn 2.45
Be1 0.0000 0.0000 0.0000  8 Nb 2.72
Nb1 0.5858 0.5858 0.8284  1 Nb 2.37
Nb2 0.4142 0.4142 0.1716  1 Nb 2.37

DOS(E_F): 2.5 states/eV per cell

***

List of relative energies, unit meV per atom: #i 279; #ii 0; #iii 327

***

#i
Computed, not measured: BeNbZn after structural relaxation at the GGA-PBE level of DFT.

Cell lengths 2.8177, 2.8177, 5.5054 Å; angles 104.83, 104.83, 90.00 degrees
Closest atoms and distances in Å follow each position.
Fractional coordinates of all 3 atoms:
Zn1 0.3059 0.3059 0.6117  4 Be 2.41
Nb1 0.6067 0.6067 0.2135  4 Be 2.64, 4 Nb 2.82, 4 Zn 2.85
Be1 0.9374 0.9374 0.8748  4 Zn 2.41, 4 Nb 2.64

DOS(E_F): 1.4 states/eV per cell

***

#ii
Computed, not measured: BeNbZn after structural relaxation at the GGA-PBE level of DFT.

Cell lengths 3.5728, 6.2464, 10.8737 Å; angles 90.00, 90.00, 90.00 degrees
Closest atoms and distances in Å follow each position.
Fractional coordinates of all 18 atoms:
Nb1 0.0000 0.1302 0.2500  5 Be 2.54-2.60, 2 Zn 2.77
Nb2 0.0000 0.8698 0.7500  5 Be 2.54-2.60, 2 Zn 2.77
Nb3 0.0000 0.2232 0.9556  5 Be 2.53-2.66, 2 Zn 2.84
Nb4 0.0000 0.7768 0.0444  5 Be 2.53-2.66, 2 Zn 2.84
Nb5 0.0000 0.2232 0.5444  5 Be 2.53-2.66, 2 Zn 2.84
Nb6 0.0000 0.7768 0.4556  5 Be 2.53-2.66, 2 Zn 2.84
Zn1 0.5000 0.5729 0.6212  3 Be 2.36-2.39
Zn2 0.5000 0.2078 0.7500  4 Be 2.36-2.38
Zn3 0.5000 0.5729 0.8788  3 Be 2.36-2.39
Zn4 0.5000 0.4271 0.1212  3 Be 2.36-2.39
Zn5 0.5000 0.7922 0.2500  4 Be 2.36-2.38
Zn6 0.5000 0.4271 0.3788  3 Be 2.36-2.39
Be1 0.5000 0.9468 0.9095  1 Be 2.08
Be2 0.5000 0.0532 0.0905  1 Be 2.08
Be3 0.5000 0.9468 0.5905  1 Be 2.08
Be4 0.0000 0.5460 0.2500  6 Zn 2.36-2.39, 1 Nb 2.60
Be5 0.0000 0.4540 0.7500  6 Zn 2.36-2.39, 1 Nb 2.60
Be6 0.5000 0.0532 0.4095  1 Be 2.08

DOS(E_F): 10.3 states/eV per cell

***

List of relative energies, unit meV per atom: #i 43; #ii 0

***

#i
Computed, not measured: ZrBeNb3 after structural relaxation at the GGA-PBE level of DFT.

Cell lengths 4.5300, 4.5300, 4.5300 Å; angles 90.00, 90.00, 90.00 degrees
Closest atoms and distances in Å follow each position.
Fractional coordinates of all 5 atoms:
Be1 0.0000 0.0000 0.0000  6 Nb 2.26
Zr1 0.5000 0.5000 0.5000  12 Nb 3.20
Nb1 0.0000 0.0000 0.5000  2 Be 2.26
Nb2 0.0000 0.5000 0.0000  2 Be 2.26
Nb3 0.5000 0.0000 0.0000  2 Be 2.26

DOS(E_F): 5.7 states/eV per cell

***

#ii
Computed, not measured: ZrBeNb3 after structural relaxation at the GGA-PBE level of DFT.

Cell lengths 4.8759, 4.8759, 4.8759 Å; angles 90.00, 90.00, 90.00 degrees
Closest atoms and distances in Å follow each position.
Fractional coordinates of all 5 atoms:
Zr1 0.0000 0.0000 0.0000  6 Nb 2.44
Nb1 0.0000 0.0000 0.5000  2 Zr 2.44
Nb2 0.0000 0.5000 0.0000  2 Zr 2.44
Nb3 0.5000 0.0000 0.0000  2 Zr 2.44
Be1 0.5000 0.5000 0.5000  12 Nb 3.45

DOS(E_F): 6.0 states/eV per cell

***

List of relative energies, unit meV per atom: #i 0; #ii 1501

***

#i
Computed, not measured: ZrBe3Nb after structural relaxation at the GGA-PBE level of DFT.

Cell lengths 4.3293, 4.3293, 4.3293 Å; angles 90.00, 90.00, 90.00 degrees
Closest atoms and distances in Å follow each position.
Fractional coordinates of all 5 atoms:
Zr1 0.0000 0.0000 0.0000  6 Be 2.16
Be1 0.5000 0.0000 0.0000  2 Zr 2.16
Be2 0.0000 0.0000 0.5000  2 Zr 2.16
Be3 0.0000 0.5000 0.0000  2 Zr 2.16
Nb1 0.5000 0.5000 0.5000  12 Be 3.06

DOS(E_F): 5.5 states/eV per cell

***

#ii
Computed, not measured: ZrBe3Nb after structural relaxation at the GGA-PBE level of DFT.

Cell lengths 4.3119, 4.3119, 4.3119 Å; angles 90.00, 90.00, 90.00 degrees
Closest atoms and distances in Å follow each position.
Fractional coordinates of all 5 atoms:
Be1 0.0000 0.0000 0.5000  2 Nb 2.16
Be2 0.0000 0.5000 0.0000  2 Nb 2.16
Be3 0.5000 0.0000 0.0000  2 Nb 2.16
Zr1 0.5000 0.5000 0.5000  12 Be 3.05
Nb1 0.0000 0.0000 0.0000  6 Be 2.16

DOS(E_F): 5.4 states/eV per cell

***

List of relative energies, unit meV per atom: #i 674; #ii 0